# PBE V2BAs, optimized geometry
data_V2BAs
_chemical_formula_sum 'V8 B4 As4'
_cell_length_a 5.0777
_cell_length_b 5.0777
_cell_length_c 10.1982
_cell_angle_alpha 90.00
_cell_angle_beta 90.00
_cell_angle_gamma 90.00
_space_group_name_H-M_alt 'I -4 2 d'
_space_group_IT_number 122
_space_group_name_Hall 'I -4 2bw'
loop_
_atom_site_label
_atom_site_type_symbol
_atom_site_fract_x
_atom_site_fract_y
_atom_site_fract_z
V1 V 0.1762 0.2500 0.1250
B1 B 0.0000 0.0000 0.0000
As1 As 0.0000 0.0000 0.5000
# - spin magnetization (μB per formula unit) = 0.00
# - energy of formation from the pure elements (eV/atom) = 0.4455
# - mass density (g/cm³) = 4.7
# - E_tot (eV per atom) = -6.95